# Cd2SbPb | Alexandria via LeMat-Bulk | PBE | relaxed
# **Total magnetization**: 0.00 μB per formula unit
# **Total energy**: -9.39 eV/cell
# **Volume**: 110 Å³ per cell
# **Relative energy among the computed polymorphs**: 0.006 eV/atom
# **Uncorrected formation energy**: 0.07 eV/atom
# **DOS at the Fermi energy**: 0.93 states/eV per cell
data_Cd2SbPb
_cell_length_a 3.3815
_cell_length_b 5.3366
_cell_length_c 6.1079
_cell_angle_alpha 90.00
_cell_angle_beta 90.00
_cell_angle_gamma 90.00
_space_group_name_H-M_alt 'P 1 2/m 1'
_space_group_IT_number 10
loop_
_space_group_symop_operation_xyz
'x,y,z'
'-x,-y,-z'
'-x,y,-z'
'x,-y,z'
loop_
_atom_site_label
_atom_site_fract_x
_atom_site_fract_y
_atom_site_fract_z
Cd1 0.0041 0.0000 0.2424
Sb1 0.0000 0.5000 0.5000
Pb1 0.5000 0.5000 0.0000

---

# ZrTaTiSb2 | Alexandria via LeMat-Bulk | PBE | relaxed
# **Total magnetization**: 0.00 μB per formula unit
# **Total energy**: -31.69 eV/cell
# **Volume**: 142 Å³ per cell
# **Uncorrected formation energy**: 0.97 eV/atom
# **DOS at the Fermi energy**: 8.73 states/eV per cell
data_ZrTaTiSb2
_cell_length_a 5.2760
_cell_length_b 5.2760
_cell_length_c 5.0955
_cell_angle_alpha 90.00
_cell_angle_beta 90.00
_cell_angle_gamma 90.00
_space_group_name_H-M_alt 'P 4/m m m'
_space_group_IT_number 123
_space_group_name_Hall '-P 4 2'
loop_
_atom_site_label
_atom_site_fract_x
_atom_site_fract_y
_atom_site_fract_z
Zr1 0.0000 0.0000 0.0000
Ta1 0.0000 0.0000 0.5000
Ti1 0.5000 0.5000 0.0000
Sb1 0.0000 0.5000 0.5000

---

# KSnC3 | Alexandria via LeMat-Bulk | PBE | relaxed
# **Total magnetization**: 3.58 μB per formula unit
# **Total energy**: -13.12 eV/cell
# **Volume**: 103 Å³ per cell
# **Relative energy among the computed polymorphs**: 1.356 eV/atom
# **DOS at the Fermi energy**: 4.11 states/eV per cell
data_KSnC3
_cell_length_a 4.6837
_cell_length_b 4.6837
_cell_length_c 4.6837
_cell_angle_alpha 90.00
_cell_angle_beta 90.00
_cell_angle_gamma 90.00
_space_group_name_H-M_alt 'P m -3 m'
_space_group_IT_number 221
_space_group_name_Hall '-P 4 2 3'
loop_
_atom_site_label
_atom_site_fract_x
_atom_site_fract_y
_atom_site_fract_z
K1 0.0000 0.0000 0.0000
Sn1 0.5000 0.5000 0.5000
C1 0.0000 0.0000 0.5000

---

# MgPa2Si4Pt3 | Alexandria via LeMat-Bulk | PBE | relaxed
# **Total magnetization**: 0.25 μB per formula unit
# **Total energy**: -68.58 eV/cell
# **Volume**: 178 Å³ per cell
# **Uncorrected formation energy**: -0.82 eV/atom
# **DOS at the Fermi energy**: 6.08 states/eV per cell
data_MgPa2Si4Pt3
_cell_length_a 4.1885
_cell_length_b 4.1885
_cell_length_c 10.1358
_cell_angle_alpha 90.00
_cell_angle_beta 90.00
_cell_angle_gamma 90.00
_space_group_name_H-M_alt 'P -4 m 2'
_space_group_IT_number 115
loop_
_space_group_symop_operation_xyz
'x,y,z'
'y,-x,-z'
'-x,-y,z'
'-y,x,-z'
'-x,y,z'
'-y,-x,-z'
'x,-y,z'
'y,x,-z'
loop_
_atom_site_label
_atom_site_fract_x
_atom_site_fract_y
_atom_site_fract_z
Mg1 0.0000 0.0000 0.0000
Pa1 0.0000 0.5000 0.7454
Si1 0.0000 0.0000 0.5000
Si2 0.0000 0.5000 0.1461
Si3 0.5000 0.5000 0.5000
Pt1 0.0000 0.5000 0.3819
Pt2 0.5000 0.5000 0.0000

---

# TePt2N2 | Alexandria via LeMat-Bulk | PBE | relaxed
# **Total magnetization**: 0.00 μB per formula unit
# **Total energy**: -54.63 eV/cell
# **Volume**: 162 Å³ per cell
# **Relative energy among the computed polymorphs**: 0.395 eV/atom
# **Uncorrected formation energy**: 0.91 eV/atom
# **DOS at the Fermi energy**: 8.32 states/eV per cell
data_TePt2N2
_cell_length_a 6.4616
_cell_length_b 6.4616
_cell_length_c 3.8806
_cell_angle_alpha 90.00
_cell_angle_beta 90.00
_cell_angle_gamma 90.00
_space_group_name_H-M_alt 'P 4/m b m'
_space_group_IT_number 127
_space_group_name_Hall '-P 4 2ab'
loop_
_atom_site_label
_atom_site_fract_x
_atom_site_fract_y
_atom_site_fract_z
Te1 0.0000 0.0000 0.0000
Pt1 0.1445 0.3555 0.5000
N1 0.1668 0.3332 0.0000

---

# Pm12Ho7Th | Alexandria via LeMat-Bulk | PBE | relaxed
# **Total magnetization**: 0.00 μB per formula unit
# **Total energy**: -275.79 eV/cell
# **Volume**: 2020 Å³ per cell
# **Relative energy among the computed polymorphs**: 0.000 eV/atom
# **DOS at the Fermi energy**: 106.55 states/eV per cell
data_Pm12Ho7Th
_cell_length_a 12.3755
_cell_length_b 12.3755
_cell_length_c 15.2300
_cell_angle_alpha 90.00
_cell_angle_beta 90.00
_cell_angle_gamma 120.00
_space_group_name_H-M_alt 'R -3'
_space_group_IT_number 148
_space_group_name_Hall '-R 3'
loop_
_atom_site_label
_atom_site_fract_x
_atom_site_fract_y
_atom_site_fract_z
Pm1 0.0179 0.4408 0.2050
Pm2 0.0565 0.5880 0.5898
Ho1 0.0000 0.0000 0.0000
Ho2 0.0448 0.1835 0.3042
Th1 0.0000 0.0000 0.5000

---

# TmScTc | Alexandria via LeMat-Bulk | PBE | relaxed
# **Total magnetization**: 0.00 μB per formula unit
# **Total energy**: -43.25 eV/cell
# **Volume**: 131 Å³ per cell
# **Relative energy among the computed polymorphs**: 0.000 eV/atom
# **DOS at the Fermi energy**: 6.28 states/eV per cell
data_TmScTc
_cell_length_a 3.3730
_cell_length_b 3.3730
_cell_length_c 11.5357
_cell_angle_alpha 90.00
_cell_angle_beta 90.00
_cell_angle_gamma 90.00
_space_group_name_H-M_alt 'I 4 m m'
_space_group_IT_number 107
_space_group_name_Hall 'I 4 -2'
loop_
_atom_site_label
_atom_site_fract_x
_atom_site_fract_y
_atom_site_fract_z
Tm1 0.0000 0.0000 0.0000
Sc1 0.0000 0.0000 0.2679
Tc1 0.0000 0.0000 0.6446

---

# Li4AgBi | Alexandria via LeMat-Bulk | PBE | relaxed
# **Total magnetization**: 0.00 μB per formula unit
# **Total energy**: -59.32 eV/cell
# **Volume**: 658 Å³ per cell
# **Relative energy among the computed polymorphs**: 0.302 eV/atom
data_Li4AgBi
_cell_length_a 8.5300
_cell_length_b 8.5304
_cell_length_c 9.0426
_cell_angle_alpha 90.00
_cell_angle_beta 90.00
_cell_angle_gamma 90.00
_space_group_name_H-M_alt 'I m m 2'
_space_group_IT_number 44
loop_
_space_group_symop_operation_xyz
'x,y,z'
'-x,-y,z'
'-x,y,z'
'x,-y,z'
'x+1/2,y+1/2,z+1/2'
'-x+1/2,-y+1/2,z+1/2'
'-x+1/2,y+1/2,z+1/2'
'x+1/2,-y+1/2,z+1/2'
loop_
_atom_site_label
_atom_site_fract_x
_atom_site_fract_y
_atom_site_fract_z
Li1 0.0000 0.1810 0.0000
Li2 0.0000 0.1852 0.5049
Li3 0.1814 0.5000 0.7498
Li4 0.1850 0.5000 0.2541
Ag1 0.0000 0.0000 0.2516
Ag2 0.0000 0.5000 0.0009
Bi1 0.0000 0.0000 0.7485
Bi2 0.0000 0.5000 0.4982

---

# GeBiO2 | Alexandria via LeMat-Bulk | PBE | relaxed
# **Total magnetization**: 0.00 μB per formula unit
# **Total energy**: -64.16 eV/cell
# **Volume**: 213 Å³ per cell
# **Relative energy among the computed polymorphs**: 0.060 eV/atom
# **Uncorrected formation energy**: -0.74 eV/atom
# **DOS at the Fermi energy**: 1.95 states/eV per cell
data_GeBiO2
_cell_length_a 3.4738
_cell_length_b 3.4738
_cell_length_c 20.3916
_cell_angle_alpha 90.00
_cell_angle_beta 90.00
_cell_angle_gamma 120.00
_space_group_name_H-M_alt 'R -3 m'
_space_group_IT_number 166
_space_group_name_Hall '-R 3 2"'
loop_
_atom_site_label
_atom_site_fract_x
_atom_site_fract_y
_atom_site_fract_z
Ge1 0.0000 0.0000 0.0000
Bi1 0.0000 0.0000 0.5000
O1 0.0000 0.0000 0.1032

---

# Li2Mg | Alexandria via LeMat-Bulk | PBE | relaxed
# **Total magnetization**: 0.00 μB per formula unit
# **Total energy**: -4.84 eV/cell
# **Volume**: 78 Å³ per cell
# **DOS at the Fermi energy**: 1.47 states/eV per cell
data_Li2Mg
_cell_length_a 4.7809
_cell_length_b 4.7809
_cell_length_c 3.4032
_cell_angle_alpha 90.00
_cell_angle_beta 90.00
_cell_angle_gamma 90.00
_space_group_name_H-M_alt 'P 4/m m m'
_space_group_IT_number 123
_space_group_name_Hall '-P 4 2'
loop_
_atom_site_label
_atom_site_fract_x
_atom_site_fract_y
_atom_site_fract_z
Li1 0.0000 0.5000 0.0000
Mg1 0.0000 0.0000 0.5000

---

# Li2La3Ag5 | Alexandria via LeMat-Bulk | PBE | relaxed
# **Total magnetization**: 0.00 μB per formula unit
# **Total energy**: -70.10 eV/cell
# **Volume**: 464 Å³ per cell
# **DOS at the Fermi energy**: 17.59 states/eV per cell
data_Li2La3Ag5
_cell_length_a 10.7998
_cell_length_b 10.7998
_cell_length_c 3.9813
_cell_angle_alpha 90.00
_cell_angle_beta 90.00
_cell_angle_gamma 90.00
_space_group_name_H-M_alt 'P 4/m b m'
_space_group_IT_number 127
_space_group_name_Hall '-P 4 2ab'
loop_
_atom_site_label
_atom_site_fract_x
_atom_site_fract_y
_atom_site_fract_z
Li1 0.1130 0.3870 0.0000
La1 0.0000 0.0000 0.0000
La2 0.1820 0.6820 0.0000
Ag1 0.0000 0.5000 0.5000
Ag2 0.0596 0.2254 0.5000

---

# TaMoSeBr2 | Alexandria via LeMat-Bulk | PBE | relaxed
# **Total magnetization**: 5.51 μB per formula unit
# **Total energy**: -26.03 eV/cell
# **Volume**: 135 Å³ per cell
# **Relative energy among the computed polymorphs**: 0.000 eV/atom
# **Uncorrected formation energy**: 0.70 eV/atom
# **DOS at the Fermi energy**: 2.65 states/eV per cell
data_TaMoSeBr2
_cell_length_a 5.1543
_cell_length_b 5.1543
_cell_length_c 5.0671
_cell_angle_alpha 90.00
_cell_angle_beta 90.00
_cell_angle_gamma 90.00
_space_group_name_H-M_alt 'P 4/m m m'
_space_group_IT_number 123
_space_group_name_Hall '-P 4 2'
loop_
_atom_site_label
_atom_site_fract_x
_atom_site_fract_y
_atom_site_fract_z
Ta1 0.0000 0.0000 0.0000
Mo1 0.5000 0.5000 0.5000
Se1 0.0000 0.0000 0.5000
Br1 0.0000 0.5000 0.0000

---

# ZnIn4Rh | Alexandria via LeMat-Bulk | PBE | relaxed
# **Total magnetization**: 0.00 μB per formula unit
# **Total energy**: -66.95 eV/cell
# **Volume**: 561 Å³ per cell
# **DOS at the Fermi energy**: 17.01 states/eV per cell
data_ZnIn4Rh
_cell_length_a 8.2461
_cell_length_b 8.2461
_cell_length_c 8.2461
_cell_angle_alpha 90.00
_cell_angle_beta 90.00
_cell_angle_gamma 90.00
_space_group_name_H-M_alt 'F -4 3 m'
_space_group_IT_number 216
_space_group_name_Hall 'F -4 2 3'
loop_
_atom_site_label
_atom_site_fract_x
_atom_site_fract_y
_atom_site_fract_z
Zn1 0.0000 0.0000 0.0000
In1 0.1246 0.1246 0.6246
Rh1 0.2500 0.2500 0.2500

---

# VCoCuMo2 | Alexandria via LeMat-Bulk | PBE | relaxed
# **Total magnetization**: 0.00 μB per formula unit
# **Total energy**: -34.15 eV/cell
# **Volume**: 85 Å³ per cell
# **DOS at the Fermi energy**: 7.50 states/eV per cell
data_VCoCuMo2
_cell_length_a 4.3896
_cell_length_b 4.3896
_cell_length_c 4.4291
_cell_angle_alpha 90.00
_cell_angle_beta 90.00
_cell_angle_gamma 90.00
_space_group_name_H-M_alt 'P 4/m m m'
_space_group_IT_number 123
_space_group_name_Hall '-P 4 2'
loop_
_atom_site_label
_atom_site_fract_x
_atom_site_fract_y
_atom_site_fract_z
V1 0.0000 0.0000 0.0000
Co1 0.5000 0.5000 0.5000
Cu1 0.0000 0.0000 0.5000
Mo1 0.0000 0.5000 0.0000

---

# Er6SiS12 | Alexandria via LeMat-Bulk | PBE | relaxed
# **Total magnetization**: 0.15 μB per formula unit
# **Total energy**: -338.02 eV/cell
# **Volume**: 1273 Å³ per cell
# **Uncorrected formation energy**: -1.60 eV/atom
# **DOS at the Fermi energy**: 37.32 states/eV per cell
data_Er6SiS12
_cell_length_a 11.5690
_cell_length_b 11.5690
_cell_length_c 10.9785
_cell_angle_alpha 90.00
_cell_angle_beta 90.00
_cell_angle_gamma 120.00
_space_group_name_H-M_alt 'R -3'
_space_group_IT_number 148
_space_group_name_Hall '-R 3'
loop_
_atom_site_label
_atom_site_fract_x
_atom_site_fract_y
_atom_site_fract_z
Er1 0.0549 0.4469 0.3155
Si1 0.0000 0.0000 0.0000
S1 0.0397 0.2189 0.3999
S2 0.0554 0.1922 0.8873